Pa2Co4TcP3 (PBE-GGA, relaxed); SG = P-4m2; raw total energy = -81.92 eV per formula unit; DOS(E_F) = 9.5 states/eV per cell; calculated formation energy = -791 meV per atom; total moment = 0.6 μB/cell; calculated volume = 14.28 A^3/atom
1.0
-1.511 -2.518 -2.321
0.196 -2.597 2.689
-9.306 2.622 3.212
Co P Pa Tc
4 3 2 1
Cartesian
-0.657 -2.558 0.184
0.000 0.000 0.000
-3.035 -0.416 2.426
-6.929 0.480 0.970
-4.653 1.311 1.606
-1.021 -0.983 1.731
-8.942 1.048 1.665
-6.880 0.668 3.753
-3.083 -0.603 -0.357
-5.310 -1.246 1.790